[1]
First-principles (GGA-PBE) data for a geometry-optimized SrCd2Pb3 structure, as listed in the Alexandria database.

The structure belongs to space group Cmcm (No. 63); the cell edges are 11.654, 11.042 and 6.474 Å and the angles 90.00°, 90.00° and 90.00°. The distinct sites, in fractional coordinates, are Sr at (0.000, 0.228, 0.250), Cd at (0.132, 0.500, 0.000), Pb at (0.000, 0.302, 0.750) and Pb at (0.148, 0.056, 0.750).

The calculated formation energy is -0.07 eV/atom. The calculated volume comes out at 34.7 Å³/atom. As for the total magnetization: 0.0 μB per cell. Its density of states at the Fermi level is 0.494 states/eV per atom.

---

[2]
First-principles (GGA-PBE) data for a geometry-optimized SrCdPb2 structure, as listed in the Alexandria database.

The structure belongs to space group Pmmm (No. 47); the cell edges are 3.901, 4.331 and 7.418 Å and the angles 90.00°, 90.00° and 90.00°. The distinct sites, in fractional coordinates, are Sr at (0.000, 0.000, 0.000), Cd at (0.000, 0.000, 0.500) and Pb at (0.500, 0.500, 0.288).

The calculated formation energy is -0.21 eV/atom. The calculated volume comes out at 31.3 Å³/atom. As for the total magnetization: 0.0 μB per cell. Its density of states at the Fermi level is 0.556 states/eV per atom.

---

[3]
First-principles (GGA-PBE) data for a geometry-optimized Sr2Cd6Pb structure, as listed in the Alexandria database.

The structure belongs to space group P-3m1 (No. 164); the cell edges are 6.6252, 6.6252 and 6.6743 Å and the angles 90.00°, 90.00° and 120.00°. The distinct sites, in fractional coordinates, are Sr at (0.3333, 0.6667, 0.1497), Cd at (0.1820, 0.3639, 0.6552) and Pb at (0.0000, 0.0000, 0.0000).

The calculated formation energy is -0.26 eV/atom. The calculated volume comes out at 28.2 Å³/atom. As for the total magnetization: 0.0 μB per cell. Its density of states at the Fermi level is 0.441 states/eV per atom.

---

[4]
First-principles (GGA-PBE) data for a geometry-optimized SrCd2Pb structure, as listed in the Alexandria database.

The structure belongs to space group P4mm (No. 99); the cell edges are 3.905, 3.905 and 7.763 Å and the angles 90.00°, 90.00° and 90.00°. The distinct sites, in fractional coordinates, are Sr at (0.000, 0.000, 0.000), Cd at (0.000, 0.000, 0.478), Cd at (0.500, 0.500, 0.282) and Pb at (0.500, 0.500, 0.700).

The calculated formation energy is -0.21 eV/atom. The calculated volume comes out at 29.6 Å³/atom. As for the total magnetization: 0.0 μB per cell. Its density of states at the Fermi level is 0.554 states/eV per atom.

---

[5]
First-principles (GGA-PBE) data for a geometry-optimized SrCd2Pb structure, as listed in the Alexandria database.

The structure belongs to space group I4/mmm (No. 139); the cell edges are 5.028, 5.028 and 9.230 Å and the angles 90.00°, 90.00° and 90.00°. The distinct sites, in fractional coordinates, are Sr at (0.000, 0.000, 0.000), Cd at (0.000, 0.500, 0.250) and Pb at (0.000, 0.000, 0.500).

The calculated formation energy is -0.27 eV/atom. The calculated volume comes out at 29.2 Å³/atom. As for the total magnetization: 0.0 μB per cell. Its density of states at the Fermi level is 0.487 states/eV per atom.

---

[6]
First-principles (GGA-PBE) data for a geometry-optimized SrCd2Pb structure, as listed in the Alexandria database.

The structure belongs to space group Cm (No. 8); the cell edges are 8.650, 4.973 and 6.321 Å and the angles 90.00°, 116.77° and 90.00°. The distinct sites, in fractional coordinates, are Sr at (0.000, 0.000, 0.000), Cd at (0.275, 0.500, 0.327), Cd at (0.485, 0.000, 0.457) and Pb at (0.221, 0.000, 0.666).

The calculated formation energy is -0.24 eV/atom. The calculated volume comes out at 30.4 Å³/atom. As for the total magnetization: 0.0 μB per cell. Its density of states at the Fermi level is 0.484 states/eV per atom.